1.
Here is a geometry-optimized ScRuPt structure from Alexandria. Energies are from PBE.

Properties
- Total moment: 0.00 μB/cell
- ΔH_f (0 K): 0.0261 eV per atom
- Uncorrected energy: -7.190 eV per atom

abc: 6.083 6.083 6.083
angles: 90.00 90.00 90.00
Space group F-43m (No. 216)
Asymmetric unit:
Sc  0.000  0.000  0.000 [4 per cell]
Ru  0.250  0.250  0.250 [4 per cell]
Pt  0.250  0.250  0.750 [4 per cell]

---

2.
Here is a geometry-optimized ScRuPt structure from Alexandria. Energies are from PBE.

Properties
- Total moment: 0.00 μB/cell
- ΔH_f (0 K): -0.3903 eV per atom
- Uncorrected energy: -7.606 eV per atom

abc: 8.616 2.964 8.998
angles: 90.00 114.50 90.00
Space group C2/m (No. 12)
Asymmetric unit:
Sc  0.034  0.000  0.253 [4 per cell]
Ru  0.153  0.500  0.045 [4 per cell]
Pt  0.179  0.000  0.601 [4 per cell]

---

3.
Here is a geometry-optimized Sc2RuPt structure from Alexandria. Energies are from PBE.

Properties
- Total moment: 0.00 μB/cell
- ΔH_f (0 K): -0.5199 eV per atom
- Uncorrected energy: -7.515 eV per atom

abc: 3.2986 3.2986 23.3347
angles: 90.00 90.00 120.00
Space group R-3m (No. 166, hexagonal axes)
Asymmetric unit:
Sc  0.0000  0.0000  0.2477 [6 per cell]
Ru  0.0000  0.0000  0.5000 [3 per cell]
Pt  0.0000  0.0000  0.0000 [3 per cell]

---

4.
Here is a geometry-optimized Sc2Si4RuPt3 structure from Alexandria. Energies are from PBE.

Properties
- Total moment: 0.00 μB/cell
- ΔE_f (raw): -964 meV/atom
- Uncorrected energy: -7.139 eV per atom

abc: 4.032 4.032 10.039
angles: 90.00 90.00 90.00
Space group P-4m2 (No. 115)
Asymmetric unit:
Sc  0.000  0.500  0.244 [2 per cell]
Si  0.000  0.000  0.500 [1 per cell]
Si  0.000  0.500  0.869 [2 per cell]
Si  0.500  0.500  0.500 [1 per cell]
Ru  0.500  0.500  0.000 [1 per cell]
Pt  0.000  0.000  0.000 [1 per cell]
Pt  0.000  0.500  0.634 [2 per cell]

---

5.
Here is a geometry-optimized ScSiRu2Pt structure from Alexandria. Energies are from PBE.

Properties
- Total moment: 1.29 μB/cell
- ΔE_f (raw): 1396 meV/atom
- Uncorrected energy: -5.873 eV per atom

abc: 4.591 4.591 4.777
angles: 90.00 90.00 90.00
Space group P4/mmm (No. 123)
Asymmetric unit:
Sc  0.000  0.000  0.000 [1 per cell]
Si  0.500  0.500  0.500 [1 per cell]
Ru  0.000  0.500  0.000 [2 per cell]
Pt  0.000  0.000  0.500 [1 per cell]

---

6.
Here is a geometry-optimized Sc4SnRu2Pt structure from Alexandria. Energies are from PBE.

Properties
- Total moment: 0.00 μB/cell
- ΔH_f (0 K): -0.7467 eV per atom
- Uncorrected energy: -7.487 eV per atom

abc: 4.6669 4.6669 23.1073
angles: 90.00 90.00 120.00
Space group R-3m (No. 166, hexagonal axes)
Asymmetric unit:
Sc  0.0000  0.0000  0.1192 [6 per cell]
Sc  0.0000  0.0000  0.3710 [6 per cell]
Sn  0.0000  0.0000  0.5000 [3 per cell]
Ru  0.0000  0.0000  0.2495 [6 per cell]
Pt  0.0000  0.0000  0.0000 [3 per cell]

---

7.
Here is a geometry-optimized ScSnRuPt structure from Alexandria. Energies are from PBE.

Properties
- Total moment: 0.00 μB/cell
- ΔH_f (0 K): -0.7185 eV per atom
- Uncorrected energy: -7.131 eV per atom

abc: 4.337 4.337 7.271
angles: 90.00 90.00 90.00
Space group I-4m2 (No. 119)
Asymmetric unit:
Sc  0.000  0.000  0.000 [2 per cell]
Sn  0.000  0.000  0.500 [2 per cell]
Ru  0.000  0.500  0.750 [2 per cell]
Pt  0.000  0.500  0.250 [2 per cell]

---

8.
Here is a geometry-optimized ScSnRuPt structure from Alexandria. Energies are from PBE.

Properties
- Total moment: 1.90 μB/cell
- ΔH_f (0 K): -0.6643 eV per atom
- Uncorrected energy: -7.077 eV per atom

abc: 6.504 6.504 6.504
angles: 90.00 90.00 90.00
Space group F-43m (No. 216)
Asymmetric unit:
Sc  0.000  0.000  0.000 [4 per cell]
Sn  0.000  0.000  0.500 [4 per cell]
Ru  0.250  0.250  0.250 [4 per cell]
Pt  0.250  0.250  0.750 [4 per cell]

---

9.
Here is a geometry-optimized Sc5Sn2Ru2Pt structure from Alexandria. Energies are from PBE.

Properties
- Total moment: 0.00 μB/cell
- ΔH_f (0 K): -0.6260 eV per atom
- Uncorrected energy: -7.052 eV per atom

abc: 11.058 11.058 3.315
angles: 90.00 90.00 90.00
Space group P4/mbm (No. 127)
Asymmetric unit:
Sc  0.000  0.500  0.000 [2 per cell]
Sc  0.071  0.196  0.000 [8 per cell]
Sn  0.173  0.673  0.500 [4 per cell]
Ru  0.137  0.363  0.500 [4 per cell]
Pt  0.000  0.000  0.500 [2 per cell]

---

10.
Here is a geometry-optimized TbScRuPt structure from Alexandria. Energies are from PBE.

Properties
- Total moment: 0.00 μB/cell
- ΔH_f (0 K): -0.8131 eV per atom
- Uncorrected energy: -7.383 eV per atom

abc: 6.715 6.715 6.715
angles: 90.00 90.00 90.00
Space group F-43m (No. 216)
Asymmetric unit:
Tb  0.000  0.000  0.000 [4 per cell]
Sc  0.000  0.000  0.500 [4 per cell]
Ru  0.250  0.250  0.250 [4 per cell]
Pt  0.250  0.250  0.750 [4 per cell]

---

11.
Here is a geometry-optimized TbScRuPt structure from Alexandria. Energies are from PBE.

Properties
- Total moment: 0.00 μB/cell
- ΔH_f (0 K): -0.8715 eV per atom
- Uncorrected energy: -7.441 eV per atom

abc: 3.384 3.384 6.599
angles: 90.00 90.00 90.00
Space group P4mm (No. 99)
Asymmetric unit:
Tb  0.000  0.000  0.000 [1 per cell]
Sc  0.000  0.000  0.487 [1 per cell]
Ru  0.500  0.500  0.263 [1 per cell]
Pt  0.500  0.500  0.728 [1 per cell]

---

12.
Here is a geometry-optimized ThScRuPt structure from Alexandria. Energies are from PBE.

Properties
- Total moment: 0.00 μB/cell
- ΔH_f (0 K): -0.7512 eV per atom
- Uncorrected energy: -8.018 eV per atom

abc: 6.896 6.896 6.896
angles: 90.00 90.00 90.00
Space group F-43m (No. 216)
Asymmetric unit:
Th  0.000  0.000  0.000 [4 per cell]
Sc  0.000  0.000  0.500 [4 per cell]
Ru  0.250  0.250  0.250 [4 per cell]
Pt  0.250  0.250  0.750 [4 per cell]